1.
VASP calculation (GGA-PBEsol) on a relaxed structure of ScInHg2.

Summary:
The mass density is 11.00 Mg/m³. The formation energy from the elements comes out at -0.328 eV per atom. As for the total energy: -3.01 eV/atom.

abc: 5.2484 5.2484 5.2484
angles: 129.16 129.16 74.75
Atoms (fractional coordinates):
Sc (0.0000, 0.0000, 0.0000)
In (0.5000, 0.5000, 0.0000)
Hg (0.2500, 0.7500, 0.5000)
Hg (0.7500, 0.2500, 0.5000)

***

2.
VASP calculation (GGA-PBEsol) on a relaxed structure of Nb5GaSn2.

Summary:
The mass density is 8.88 Mg/m³. The formation energy from the elements comes out at -0.303 eV per atom. As for the total energy: -8.55 eV/atom.

abc: 7.9206 7.9206 7.9206
angles: 96.04 96.04 142.13
Atoms (fractional coordinates):
Nb (0.0715, 0.7825, 0.8539)
Nb (0.2175, 0.0715, 0.2890)
Nb (0.2500, 0.7500, 0.5000)
Nb (0.2825, 0.5715, 0.8539)
Nb (0.4285, 0.2825, 0.7110)
Nb (0.5715, 0.7175, 0.2890)
Nb (0.7175, 0.4285, 0.1461)
Nb (0.7500, 0.2500, 0.5000)
Nb (0.7825, 0.9285, 0.7110)
Nb (0.9285, 0.2175, 0.1461)
Ga (0.2500, 0.2500, 0.0000)
Ga (0.7500, 0.7500, 0.0000)
Sn (0.1685, 0.3315, 0.5000)
Sn (0.3315, 0.8315, 0.1630)
Sn (0.6685, 0.1685, 0.8370)
Sn (0.8315, 0.6685, 0.5000)

***

3.
VASP calculation (GGA-PBEsol) on a relaxed structure of MgIr2F.

Summary:
The mass density is 13.12 Mg/m³. The calculation puts the formation energy (no corrections) at 0.517 eV/atom. As for the total energy: -5.31 eV/atom.

abc: 4.2464 4.2464 4.2464
angles: 60.00 60.00 60.00
Atoms (fractional coordinates):
Mg (0.0000, 0.0000, 0.0000)
Ir (0.2500, 0.2500, 0.2500)
Ir (0.7500, 0.7500, 0.7500)
F (0.5000, 0.5000, 0.5000)

***

4.
VASP calculation (GGA-PBEsol) on a relaxed structure of YRhO3.

Summary:
The mass density is 7.14 Mg/m³. The calculation puts the formation energy (no corrections) at -2.236 eV/atom. As for the total energy: -8.38 eV/atom.

abc: 5.7479 7.5170 5.1666
angles: 90.00 90.00 90.00
Atoms (fractional coordinates):
Y (0.0862, 0.2500, 0.0326)
Y (0.4138, 0.7500, 0.5326)
Y (0.5862, 0.2500, 0.4674)
Y (0.9138, 0.7500, 0.9674)
Rh (0.0000, 0.0000, 0.5000)
Rh (0.0000, 0.5000, 0.5000)
Rh (0.5000, 0.0000, 0.0000)
Rh (0.5000, 0.5000, 0.0000)
O (0.0515, 0.7500, 0.3664)
O (0.1903, 0.5609, 0.8254)
O (0.1903, 0.9391, 0.8254)
O (0.3097, 0.0609, 0.3254)
O (0.3097, 0.4391, 0.3254)
O (0.4485, 0.2500, 0.8664)
O (0.5515, 0.7500, 0.1336)
O (0.6903, 0.5609, 0.6746)
O (0.6903, 0.9391, 0.6746)
O (0.8097, 0.0609, 0.1746)
O (0.8097, 0.4391, 0.1746)
O (0.9485, 0.2500, 0.6336)

***

5.
VASP calculation (GGA-PBEsol) on a relaxed structure of SiMoS2.

Summary:
The mass density is 4.69 Mg/m³. The calculation puts the formation energy (no corrections) at -0.288 eV/atom. As for the total energy: -6.86 eV/atom.

abc: 8.4147 8.4147 8.4147
angles: 20.93 20.93 20.93
Atoms (fractional coordinates):
Si (0.0000, 0.0000, 0.0000)
Mo (0.5000, 0.5000, 0.5000)
S (0.1004, 0.1004, 0.1004)
S (0.8996, 0.8996, 0.8996)

***

6.
VASP calculation (GGA-PBEsol) on a relaxed structure of ScInAu2.

Summary:
The mass density is 12.00 Mg/m³. The formation energy from the elements comes out at -0.594 eV per atom. As for the total energy: -4.95 eV/atom.

abc: 3.4455 3.4455 6.4536
angles: 90.00 90.00 90.00
Atoms (fractional coordinates):
Sc (0.0000, 0.0000, 0.0000)
In (0.0000, 0.0000, 0.5000)
Au (0.5000, 0.5000, 0.2286)
Au (0.5000, 0.5000, 0.7714)

***

7.
VASP calculation (GGA-PBEsol) on a relaxed structure of NaSiGe2Pt.

Summary:
The mass density is 6.12 Mg/m³. The calculation puts the formation energy (no corrections) at 1.356 eV/atom. As for the total energy: -3.44 eV/atom.

abc: 4.7494 4.7494 4.7072
angles: 90.00 90.00 90.00
Atoms (fractional coordinates):
Na (0.0000, 0.0000, 0.0000)
Si (0.5000, 0.5000, 0.5000)
Ge (0.0000, 0.5000, 0.0000)
Ge (0.5000, 0.0000, 0.0000)
Pt (0.0000, 0.0000, 0.5000)

***

8.
VASP calculation (GGA-PBEsol) on a relaxed structure of InCuTe2.

Summary:
The mass density is 7.64 Mg/m³. The calculation puts the formation energy (no corrections) at 0.136 eV/atom. As for the total energy: -3.46 eV/atom.

abc: 3.1745 3.1745 9.6412
angles: 90.00 90.00 104.09
Atoms (fractional coordinates):
In (0.0000, 0.0000, 0.0000)
Cu (0.5000, 0.5000, 0.8074)
Te (0.0000, 0.0000, 0.6206)
Te (0.5000, 0.5000, 0.2766)

***

9.
VASP calculation (GGA-PBEsol) on a relaxed structure of Al2CoPb.

Summary:
The mass density is 7.68 Mg/m³. The formation energy from the elements comes out at 0.401 eV per atom. As for the total energy: -4.58 eV/atom.

abc: 5.6569 5.6569 3.0778
angles: 104.18 104.18 124.34
Atoms (fractional coordinates):
Al (0.0000, 0.5000, 0.0000)
Al (0.5000, 0.0000, 0.0000)
Co (0.0000, 0.0000, 0.0000)
Pb (0.5000, 0.5000, 0.0000)

***

10.
VASP calculation (GGA-PBEsol) on a relaxed structure of Ca2InPt.

Summary:
The mass density is 6.28 Mg/m³. The formation energy from the elements comes out at -0.611 eV per atom. As for the total energy: -4.16 eV/atom.

abc: 4.3481 5.9732 5.9732
angles: 41.69 90.00 90.00
Atoms (fractional coordinates):
Ca (0.0000, 0.0000, 0.0000)
Ca (0.5000, 0.2942, 0.2942)
In (0.0000, 0.7087, 0.7087)
Pt (0.5000, 0.5672, 0.5672)

***

11.
VASP calculation (GGA-PBEsol) on a relaxed structure of BaP2S2.

Summary:
The mass density is 2.07 Mg/m³. The calculation puts the formation energy (no corrections) at 1.488 eV/atom. As for the total energy: -3.01 eV/atom.

abc: 5.8080 5.8080 6.2688
angles: 90.00 90.00 90.00
Atoms (fractional coordinates):
Ba (0.0000, 0.0000, 0.0000)
P (0.0000, 0.0000, 0.5000)
P (0.5000, 0.5000, 0.5000)
S (0.0000, 0.5000, 0.0000)
S (0.5000, 0.0000, 0.0000)

***

12.
VASP calculation (GGA-PBEsol) on a relaxed structure of CdRh2Pb.

Summary:
The mass density is 12.93 Mg/m³. The formation energy from the elements comes out at -0.025 eV per atom. As for the total energy: -5.39 eV/atom.

abc: 3.1804 3.3692 6.2977
angles: 90.00 90.00 90.00
Atoms (fractional coordinates):
Cd (0.0000, 0.0000, 0.0000)
Rh (0.5000, 0.5000, 0.2522)
Rh (0.5000, 0.5000, 0.7478)
Pb (0.0000, 0.0000, 0.5000)

***

13.
VASP calculation (GGA-PBEsol) on a relaxed structure of ErAsS.

Summary:
The mass density is 7.81 Mg/m³. The calculation puts the formation energy (no corrections) at -1.619 eV/atom. As for the total energy: -6.42 eV/atom.

abc: 3.7472 3.7472 8.3024
angles: 90.00 90.00 90.00
Atoms (fractional coordinates):
Er (0.2500, 0.2500, 0.2093)
Er (0.7500, 0.7500, 0.7907)
As (0.2500, 0.7500, 0.5000)
As (0.7500, 0.2500, 0.5000)
S (0.2500, 0.2500, 0.8744)
S (0.7500, 0.7500, 0.1256)

***

14.
VASP calculation (GGA-PBEsol) on a relaxed structure of NaMoCO2.

Summary:
The mass density is 4.43 Mg/m³. The calculation puts the formation energy (no corrections) at -0.674 eV/atom. As for the total energy: -7.34 eV/atom.

abc: 3.8820 3.8820 4.0497
angles: 90.00 90.00 90.00
Atoms (fractional coordinates):
Na (0.0000, 0.0000, 0.0000)
Mo (0.5000, 0.5000, 0.5000)
C (0.5000, 0.5000, 0.0000)
O (0.0000, 0.5000, 0.5000)
O (0.5000, 0.0000, 0.5000)

***

15.
VASP calculation (GGA-PBEsol) on a relaxed structure of Mg2ZnIn.

Summary:
The mass density is 4.65 Mg/m³. The formation energy from the elements comes out at -0.024 eV per atom. As for the total energy: -2.02 eV/atom.

abc: 3.2628 4.1571 6.0213
angles: 90.00 90.00 90.00
Atoms (fractional coordinates):
Mg (0.0000, 0.0000, 0.0000)
Mg (0.5000, 0.5000, 0.2712)
Zn (0.0000, 0.0000, 0.4919)
In (0.5000, 0.5000, 0.7496)

***

16.
VASP calculation (GGA-PBEsol) on a relaxed structure of Ca7Si6H4CO23.

Summary:
The mass density is 2.79 Mg/m³. As for the total energy: -7.37 eV/atom.

abc: 9.3421 9.3421 6.6103
angles: 104.69 104.69 107.86
Atoms (fractional coordinates):
Ca (0.0000, 0.0000, 0.0000)
Ca (0.0816, 0.3739, 0.4804)
Ca (0.2583, 0.7585, 0.9720)
Ca (0.3739, 0.0816, 0.4804)
Ca (0.6709, 0.9395, 0.4587)
Ca (0.7585, 0.2583, 0.9720)
Ca (0.9395, 0.6709, 0.4587)
Si (0.1755, 0.3849, 0.0327)
Si (0.3358, 0.6872, 0.4749)
Si (0.3849, 0.1755, 0.0327)
Si (0.6286, 0.8388, 0.9065)
Si (0.6872, 0.3358, 0.4749)
Si (0.8388, 0.6286, 0.9065)
H (0.3314, 0.3314, 0.7523)
H (0.4257, 0.4257, 0.6171)
H (0.5660, 0.5660, 0.3077)
H (0.6562, 0.6562, 0.1682)
C (0.9969, 0.9969, 0.4563)
O (0.0266, 0.2692, 0.0769)
O (0.0940, 0.9455, 0.3824)
O (0.1444, 0.4743, 0.8592)
O (0.1890, 0.6618, 0.5693)
O (0.2692, 0.0266, 0.0769)
O (0.2765, 0.2765, 0.9447)
O (0.3005, 0.5150, 0.2843)
O (0.3318, 0.3318, 0.5988)
O (0.3798, 0.8320, 0.3803)
O (0.4743, 0.1444, 0.8592)
O (0.4956, 0.6994, 0.6669)
O (0.5150, 0.3005, 0.2843)
O (0.5430, 0.8739, 0.0835)
O (0.6586, 0.6586, 0.3206)
O (0.6618, 0.1890, 0.5693)
O (0.6994, 0.4956, 0.6669)
O (0.7352, 0.9868, 0.8519)
O (0.7533, 0.7533, 0.0026)
O (0.8320, 0.3798, 0.3803)
O (0.8739, 0.5430, 0.0835)
O (0.9412, 0.9412, 0.5941)
O (0.9455, 0.0940, 0.3824)
O (0.9868, 0.7352, 0.8519)

***

17.
VASP calculation (GGA-PBEsol) on a relaxed structure of Sc3TeH.

Summary:
The mass density is 5.21 Mg/m³. As for the total energy: -5.89 eV/atom.

abc: 4.3800 4.3800 4.3800
angles: 90.00 90.00 90.00
Atoms (fractional coordinates):
Sc (0.0000, 0.0000, 0.5000)
Sc (0.0000, 0.5000, 0.0000)
Sc (0.5000, 0.0000, 0.0000)
Te (0.5000, 0.5000, 0.5000)
H (0.0000, 0.0000, 0.0000)

***

18.
VASP calculation (GGA-PBEsol) on a relaxed structure of Ba2MnHg.

Summary:
The mass density is 6.08 Mg/m³. The formation energy from the elements comes out at 0.364 eV per atom. As for the total energy: -3.29 eV/atom.

abc: 9.6988 9.6988 9.6988
angles: 25.13 25.13 25.13
Atoms (fractional coordinates):
Ba (0.2460, 0.2460, 0.2460)
Ba (0.7540, 0.7540, 0.7540)
Mn (0.5000, 0.5000, 0.5000)
Hg (0.0000, 0.0000, 0.0000)

***

19.
VASP calculation (GGA-PBEsol) on a relaxed structure of ZrPRu2.

Summary:
The mass density is 8.93 Mg/m³. The formation energy from the elements comes out at -0.492 eV per atom. As for the total energy: -9.30 eV/atom.

abc: 4.7414 4.7414 4.8849
angles: 116.24 116.24 38.45
Atoms (fractional coordinates):
Zr (0.0000, 0.0000, 0.0000)
P (0.2793, 0.2793, 0.5853)
Ru (0.5880, 0.5880, 0.5972)
Ru (0.7968, 0.7968, 0.2590)

***

20.
VASP calculation (GGA-PBEsol) on a relaxed structure of LaTaCr2.

Summary:
The mass density is 10.70 Mg/m³. The formation energy from the elements comes out at 0.829 eV per atom. As for the total energy: -8.77 eV/atom.

abc: 5.1301 5.1301 5.1301
angles: 144.24 122.12 69.93
Atoms (fractional coordinates):
La (0.0000, 0.0000, 0.0000)
Ta (0.5000, 0.5000, 0.0000)
Cr (0.2503, 0.7503, 0.5000)
Cr (0.7497, 0.2497, 0.5000)